(1)
# Nd6Mg3N

A relaxed structure of Nd6Mg3N (PBE, the Alexandria database).

Unit cell a=10.7682 b=10.7682 c=17.1632 alpha=90.00 beta=90.00 gamma=120.00
Space group R-3m (No. 166, hexagonal axes)
One atom of each set of equivalent atoms:
Nd 0.1070 0.2140 0.4148 x18
Nd 0.1086 0.2173 0.0852 x18
Mg 0.1096 0.2191 0.7493 x18
N 0.0000 0.0000 0.0000 x3
N 0.0000 0.0000 0.5000 x3



(2)
# Nd6Mg2N

A relaxed structure of Nd6Mg2N (PBE, the Alexandria database).

Unit cell a=12.503 b=7.231 c=7.233 alpha=90.00 beta=125.35 gamma=90.00
Space group C2/m (No. 12)
One atom of each set of equivalent atoms:
Nd 0.001 0.241 0.243 x8
Nd 0.243 0.000 0.240 x4
Mg 0.250 0.000 0.750 x4
N 0.000 0.000 0.000 x2



no.,calculated volume (Å³ per atom),final energy (eV/atom)
1,28.725,-4.408
2,29.635,-4.750